This record from Alexandria via LeMat-Bulk describes an optimized crystal structure of Sr2VS4. The functional is PBE.

```
Sr2VS4
1.0
-4.4645 2.5148 4.4141
2.1333 -4.2599 4.5846
7.0838 4.3262 0.7236
Sr V S
4 2 8
Cartesian
-1.2570 -1.1750 6.6447 Sr
6.0096 3.7561 3.0776 Sr
2.5656 1.3689 2.4621 Sr
2.1871 1.2122 7.2603 Sr
1.8073 -1.6517 4.7759 V
2.9453 4.2329 4.9465 V
0.7015 0.2571 4.6547 S
7.7101 1.0709 4.5591 S
-2.9574 1.5103 5.1633 S
-0.3538 2.3643 2.3869 S
0.8684 3.9852 5.6827 S
5.1064 0.2169 7.3355 S
4.0511 2.3241 5.0677 S
3.8842 -1.4040 4.0396 S
```

## Properties
* formation energy without anion corrections: -1.54 eV per atom
* space group: P2_1/m (11)
* calculated total energy: -39.764 eV per formula unit